The following is a PBE calculation of a relaxed structure of Bi2As2Br, from Alexandria via LeMat-Bulk.

a b c (Å): 8.4998 8.4998 3.7204
angles (deg): 90.00 90.00 90.00
Last column: nearest neighbours and their distance in Å.
Fractional coordinates of all 10 atoms:
Br (0.0000, 0.0000, 0.0000)  4 Bi 3.21
Br (0.5000, 0.5000, 0.0000)  4 Bi 3.21
As (0.8726, 0.3726, 0.5000)  6 Bi 3.05-3.21, 1 As 3.06
As (0.6274, 0.8726, 0.5000)  6 Bi 3.05-3.21, 1 As 3.06
As (0.1274, 0.6274, 0.5000)  6 Bi 3.05-3.21, 1 As 3.06
As (0.3726, 0.1274, 0.5000)  6 Bi 3.05-3.21, 1 As 3.06
Bi (0.1552, 0.3448, 0.0000)  6 As 3.05-3.21, 2 Br 3.21
Bi (0.8448, 0.6552, 0.0000)  6 As 3.05-3.21, 2 Br 3.21
Bi (0.3448, 0.8448, 0.0000)  6 As 3.05-3.21, 2 Br 3.21
Bi (0.6552, 0.1552, 0.0000)  6 As 3.05-3.21, 2 Br 3.21

Computed properties:
raw formation energy = 0.03 eV per atom
space-group type = P4/mbm
energy above the most stable polymorph in this dataset = 0.1095 eV per atom
raw total energy = -3.7170 eV per atom
density = 8.00 g/cm³

***

The following is a PBE calculation of a relaxed structure of BiAsBr2, from Alexandria via LeMat-Bulk.

a b c (Å): 5.2573 5.2573 5.2573
angles (deg): 60.00 60.00 60.00
Last column: nearest neighbours and their distance in Å.
Fractional coordinates of all 4 atoms:
As (0.0000, 0.0000, 0.0000)  8 Br 3.22
Bi (0.5000, 0.5000, 0.5000)  8 Br 3.22
Br (0.2500, 0.2500, 0.2500)  4 Bi 3.22, 4 As 3.22
Br (0.7500, 0.7500, 0.7500)  4 Bi 3.22, 4 As 3.22

Computed properties:
raw formation energy = 0.36 eV per atom
space-group type = Fm-3m
energy above the most stable polymorph in this dataset = 0.3024 eV per atom
raw total energy = -2.6134 eV per atom
density = 7.17 g/cm³

***

The following is a PBE calculation of a relaxed structure of BiAs3Br, from Alexandria via LeMat-Bulk.

a b c (Å): 5.1145 5.1145 5.1145
angles (deg): 90.00 90.00 90.00
Last column: nearest neighbours and their distance in Å.
Fractional coordinates of all 5 atoms:
As (0.0000, 0.0000, 0.5000)  2 Br 2.56
As (0.0000, 0.5000, 0.0000)  2 Br 2.56
As (0.5000, 0.0000, 0.0000)  2 Br 2.56
Br (0.0000, 0.0000, 0.0000)  6 As 2.56
Bi (0.5000, 0.5000, 0.5000)  12 As 3.62

Computed properties:
raw formation energy = 0.98 eV per atom
space-group type = Pm-3m
energy above the most stable polymorph in this dataset = 0.0000 eV per atom
raw total energy = -2.9162 eV per atom
density = 6.38 g/cm³

***

The following is a PBE calculation of a relaxed structure of BiAsBr2, from Alexandria via LeMat-Bulk.

a b c (Å): 8.3123 8.3123 6.7293
angles (deg): 51.86 51.86 90.00
Last column: nearest neighbours and their distance in Å.
Fractional coordinates of all 8 atoms:
Br (0.1348, 0.6250, 0.2500)  2 As 3.00, 2 Bi 3.11, 2 Br 3.28
Br (0.8750, 0.8652, 0.7500)  2 As 3.00, 2 Bi 3.11, 2 Br 3.28
Br (0.6152, 0.1250, 0.2500)  2 As 3.00, 2 Bi 3.11, 2 Br 3.28
Br (0.3750, 0.3848, 0.7500)  2 As 3.00, 2 Bi 3.11, 2 Br 3.28
As (0.2500, 0.7500, 0.5000)  4 Br 3.00, 2 Bi 3.28
As (0.5000, 0.5000, 0.0000)  4 Br 3.00, 2 Bi 3.28
Bi (0.0000, 0.0000, 0.0000)  4 Br 3.11, 2 As 3.28
Bi (0.7500, 0.2500, 0.5000)  4 Br 3.11, 2 As 3.28

Computed properties:
raw formation energy = 0.24 eV per atom
space-group type = I-42d
energy above the most stable polymorph in this dataset = 0.1865 eV per atom
raw total energy = -2.7293 eV per atom
density = 6.51 g/cm³

***

The following is a PBE calculation of a relaxed structure of Bi2AsBr, from Alexandria via LeMat-Bulk.

a b c (Å): 9.0689 7.2971 9.5156
angles (deg): 102.22 109.77 111.13
Last column: nearest neighbours and their distance in Å.
Fractional coordinates of all 16 atoms:
Bi (0.2991, 0.6108, 0.6400)  3 As 3.00-3.16, 2 Br 3.01-3.03, 1 Bi 3.28
Bi (0.4206, 0.0980, 0.8639)  3 As 2.90-3.03
Bi (0.7009, 0.3892, 0.3600)  3 As 3.00-3.16, 2 Br 3.01-3.03, 1 Bi 3.28
Bi (0.5794, 0.9020, 0.1361)  3 As 2.90-3.03
Bi (0.0567, 0.2341, 0.1361)  3 As 2.90-3.03
Bi (0.1591, 0.9708, 0.3600)  3 As 3.00-3.16, 2 Br 3.01-3.03, 1 Bi 3.28
Bi (0.9433, 0.7659, 0.8639)  3 As 2.90-3.03
Bi (0.8409, 0.0292, 0.6400)  3 As 3.00-3.16, 2 Br 3.01-3.03, 1 Bi 3.28
As (0.9450, 0.1950, 0.3901)  6 Bi 2.95-3.15
As (0.6952, 0.9452, 0.8904)  6 Bi 2.90-3.16
As (0.0550, 0.8050, 0.6099)  6 Bi 2.95-3.15
As (0.3048, 0.0548, 0.1096)  6 Bi 2.90-3.16
Br (0.8183, 0.5683, 0.1366)  2 Bi 3.01
Br (0.1817, 0.4317, 0.8634)  2 Bi 3.01
Br (0.5430, 0.2930, 0.5860)  2 Bi 3.03
Br (0.4570, 0.7070, 0.4140)  2 Bi 3.03

Computed properties:
raw formation energy = -0.07 eV per atom
space-group type = C2/c
energy above the most stable polymorph in this dataset = 0.0177 eV per atom
raw total energy = -3.5916 eV per atom
density = 7.44 g/cm³

***

The following is a PBE calculation of a relaxed structure of Bi2As2Br, from Alexandria via LeMat-Bulk.

a b c (Å): 8.5609 8.5609 3.6525
angles (deg): 90.00 90.00 90.00
Last column: nearest neighbours and their distance in Å.
Fractional coordinates of all 10 atoms:
Br (0.0000, 0.0000, 0.0000)  4 As 3.35, 2 Br 3.65, 8 Bi 3.74
Br (0.5000, 0.5000, 0.0000)  4 As 3.35, 2 Br 3.65, 8 Bi 3.74
Bi (0.3496, 0.1504, 0.5000)  6 As 3.03-3.21
Bi (0.6504, 0.8496, 0.5000)  6 As 3.03-3.21
Bi (0.8496, 0.3496, 0.5000)  6 As 3.03-3.21
Bi (0.1504, 0.6504, 0.5000)  6 As 3.03-3.21
As (0.8683, 0.6317, 0.0000)  6 Bi 3.03-3.21, 1 As 3.19, 2 Br 3.35
As (0.6317, 0.1317, 0.0000)  6 Bi 3.03-3.21, 1 As 3.19, 2 Br 3.35
As (0.1317, 0.3683, 0.0000)  6 Bi 3.03-3.21, 1 As 3.19, 2 Br 3.35
As (0.3683, 0.8683, 0.0000)  6 Bi 3.03-3.21, 1 As 3.19, 2 Br 3.35

Computed properties:
raw formation energy = 0.10 eV per atom
space-group type = P4/mbm
energy above the most stable polymorph in this dataset = 0.1808 eV per atom
raw total energy = -3.6456 eV per atom
density = 8.04 g/cm³

***

The following is a PBE calculation of a relaxed structure of Bi2AsBr, from Alexandria via LeMat-Bulk.

a b c (Å): 3.8883 3.8883 9.1677
angles (deg): 77.76 77.76 60.00
Last column: nearest neighbours and their distance in Å.
Fractional coordinates of all 4 atoms:
Br (0.5000, 0.5000, 0.5000)  6 Bi 3.36
Bi (0.2604, 0.2604, 0.2187)  3 As 2.97
Bi (0.7396, 0.7396, 0.7813)  3 As 2.97
As (0.0000, 0.0000, 0.0000)  6 Bi 2.97

Computed properties:
raw formation energy = -0.08 eV per atom
space-group type = R-3m
energy above the most stable polymorph in this dataset = 0.0072 eV per atom
raw total energy = -3.6022 eV per atom
density = 8.17 g/cm³

***

The following is a PBE calculation of a relaxed structure of Bi2AsBr, from Alexandria via LeMat-Bulk.

a b c (Å): 3.8970 3.8970 9.1417
angles (deg): 77.69 77.69 60.00
Last column: nearest neighbours and their distance in Å.
Fractional coordinates of all 4 atoms:
Br (0.5007, 0.5007, 0.4980)  6 Bi 3.32-3.40
Bi (0.2593, 0.2593, 0.2222)  3 As 3.02, 3 Br 3.32
Bi (0.0715, 0.0715, 0.7855)  3 As 2.91
As (0.6685, 0.6685, 0.9944)  6 Bi 2.91-3.02

Computed properties:
raw formation energy = -0.09 eV per atom
space-group type = R3m
energy above the most stable polymorph in this dataset = 0.0000 eV per atom
raw total energy = -3.6094 eV per atom
density = 8.16 g/cm³